(1)
A crystal of Be2PtPb relaxed with PBEsol. Source: Alexandria via LeMat-Bulk, functional meta-GGA SCAN.

a = 4.0575 Å, b = 4.5211 Å, c = 4.0575 Å
α = 63.34°, β = 90.00°, γ = 116.66°
Last column: nearest neighbours and their distance in Å.
Fractional positions:
Pb1 0.5000 0.0000 0.5000  8 Be 2.68, 4 Pt 2.87
Be1 0.2500 0.5000 0.2500  4 Pb 2.68, 4 Pt 2.68, 4 Be 2.87
Be2 0.7500 0.5000 0.7500  4 Pb 2.68, 4 Pt 2.68, 4 Be 2.87
Pt1 0.0000 0.0000 0.0000  8 Be 2.68, 4 Pb 2.87

## Properties
DFT formation energy = 0.168 eV per atom
SG = No. 139
crystal system = tetragonal
M_tot = 0.000 μB/f.u.

(2)
A crystal of La2TiAu relaxed with PBEsol. Source: Alexandria via LeMat-Bulk, functional meta-GGA SCAN.

a = 5.2350 Å, b = 5.2350 Å, c = 5.2350 Å
α = 60.00°, β = 60.00°, γ = 60.00°
Last column: nearest neighbours and their distance in Å.
Fractional positions:
Ti1 0.0000 0.0000 0.0000  8 La 3.21
Au1 0.5000 0.5000 0.5000  8 La 3.21
La1 0.2500 0.2500 0.2500  4 Ti 3.21, 4 Au 3.21
La2 0.7500 0.7500 0.7500  4 Au 3.21, 4 Ti 3.21

## Properties
DFT formation energy = -0.224 eV per atom
SG = No. 225
crystal system = cubic
M_tot = 3.522 μB/f.u.

(3)
A crystal of Ag2RuBr relaxed with PBEsol. Source: Alexandria via LeMat-Bulk, functional meta-GGA SCAN.

a = 2.9207 Å, b = 4.3953 Å, c = 6.6477 Å
α = 109.51°, β = 102.69°, γ = 90.00°
Last column: nearest neighbours and their distance in Å.
Fractional positions:
Ru1 0.2274 0.7267 0.4547  2 Br 2.44, 4 Ag 2.73
Br1 0.5669 0.5663 0.1339  2 Ru 2.44
Ag1 0.9222 0.9234 0.8444  4 Ag 2.77-2.92, 2 Ru 2.79
Ag2 0.7835 0.2835 0.5670  4 Ru 2.73, 4 Ag 2.77-2.92

## Properties
SG = No. 8
energy above the lowest structure with this stoichiometry = 0.000 eV/atom
crystal system = monoclinic
M_tot = 1.040 μB/f.u.
E_form (uncorrected) = 0.50 eV/atom

(4)
A crystal of YZn2Tc relaxed with PBEsol. Source: Alexandria via LeMat-Bulk, functional meta-GGA SCAN.

a = 4.0749 Å, b = 4.0749 Å, c = 4.9098 Å
α = 114.52°, β = 114.52°, γ = 90.00°
Last column: nearest neighbours and their distance in Å.
Fractional positions:
Tc1 0.5000 0.5000 0.0000  8 Zn 2.85, 4 Y 2.88
Y1 0.0000 0.0000 0.0000  8 Zn 2.85, 4 Tc 2.88
Zn1 0.7500 0.2500 0.5000  4 Tc 2.85, 4 Y 2.85, 4 Zn 2.88
Zn2 0.2500 0.7500 0.5000  4 Tc 2.85, 4 Y 2.85, 4 Zn 2.88

## Properties
DFT formation energy = -0.136 eV per atom
SG = No. 139
energy above the lowest structure with this stoichiometry = 0.000 eV/atom
crystal system = tetragonal
M_tot = 0.000 μB/f.u.

(5)
A crystal of ZrZn3B relaxed with PBEsol. Source: Alexandria via LeMat-Bulk, functional meta-GGA SCAN.

a = 4.1410 Å, b = 4.1410 Å, c = 4.1410 Å
α = 90.00°, β = 90.00°, γ = 90.00°
Last column: nearest neighbours and their distance in Å.
Fractional positions:
Zn1 0.0000 0.5000 0.0000  2 B 2.07
Zn2 0.0000 0.0000 0.5000  2 B 2.07
Zn3 0.5000 0.0000 0.0000  2 B 2.07
B1 0.0000 0.0000 0.0000  6 Zn 2.07
Zr1 0.5000 0.5000 0.5000  12 Zn 2.93

## Properties
DFT formation energy = 0.276 eV per atom
SG = No. 221
crystal system = cubic
M_tot = 0.000 μB/f.u.

(6)
A crystal of CoReSi2 relaxed with PBEsol. Source: Alexandria via LeMat-Bulk, functional meta-GGA SCAN.

a = 2.6640 Å, b = 3.6644 Å, c = 5.0385 Å
α = 90.00°, β = 90.00°, γ = 90.00°
Last column: nearest neighbours and their distance in Å.
Fractional positions:
Co1 0.0000 0.0000 0.4502  5 Si 2.35-2.41
Re1 0.5000 0.5000 0.7801  6 Si 2.49-2.55, 2 Re 2.66
Si1 0.0000 0.0000 0.9838  1 Co 2.35, 4 Re 2.49
Si2 0.5000 0.5000 0.2859  4 Co 2.41, 2 Re 2.49-2.55, 2 Si 2.66

## Properties
SG = No. 25
crystal system = orthorhombic
M_tot = 0.001 μB/f.u.
E_form (uncorrected) = -0.12 eV/atom

(7)
A crystal of Sr10Mg5Mo4WO30 relaxed with PBEsol. Source: Alexandria via LeMat-Bulk, functional meta-GGA SCAN.

a = 5.5449 Å, b = 5.5799 Å, c = 22.9666 Å
α = 83.72°, β = 83.14°, γ = 60.13°
Last column: nearest neighbours and their distance in Å.
Fractional positions:
Sr1 0.8490 0.8509 0.9496  8 O 2.55-2.83
Sr2 0.4481 0.4500 0.1512  8 O 2.55-2.86
Sr3 0.0486 0.0507 0.3503  8 O 2.55-2.83
Sr4 0.6484 0.6505 0.5502  8 O 2.55-2.83
Sr5 0.2485 0.2506 0.7501  8 O 2.56-2.83
Sr6 0.5519 0.5500 0.8488  8 O 2.55-2.86
Sr7 0.1510 0.1491 0.0504  8 O 2.55-2.83
Sr8 0.7515 0.7494 0.2499  8 O 2.56-2.83
Sr9 0.3516 0.3495 0.4498  8 O 2.55-2.83
Sr10 0.9514 0.9493 0.6497  8 O 2.55-2.83
Mg1 0.2004 0.2005 0.9000  6 O 2.05-2.06
Mg2 0.7996 0.7995 0.1000  6 O 2.05-2.06
Mg3 0.4000 0.4000 0.3002  6 O 2.06
Mg4 0.0000 0.0000 0.5000  6 O 2.06
Mg5 0.6000 0.6000 0.6998  6 O 2.06
Mo1 0.8999 0.9002 0.7998  6 O 1.91-1.92
Mo2 0.1001 0.0998 0.2002  6 O 1.91-1.92
Mo3 0.7000 0.7001 0.4001  6 O 1.91-1.92
Mo4 0.3000 0.2999 0.5999  6 O 1.91-1.92
W1 0.5000 0.5000 0.0000  6 O 1.92-1.93
O1 0.5406 0.0209 0.8402  1 Mo 1.91, 1 Mg 2.06
O2 0.1375 0.6207 0.0403  1 W 1.92, 1 Mg 2.05
O3 0.7409 0.2203 0.2410  1 Mo 1.91, 1 Mg 2.06
O4 0.3405 0.8205 0.4406  1 Mo 1.91, 1 Mg 2.06
O5 0.9406 0.4204 0.6404  1 Mo 1.91, 1 Mg 2.06
O6 0.8625 0.3793 0.9597  1 W 1.92, 1 Mg 2.05
O7 0.4594 0.9791 0.1598  1 Mo 1.91, 1 Mg 2.06
O8 0.0594 0.5796 0.3596  1 Mo 1.91, 1 Mg 2.06
O9 0.6595 0.1795 0.5594  1 Mo 1.91, 1 Mg 2.06
O10 0.2591 0.7797 0.7590  1 Mo 1.91, 1 Mg 2.06
O11 0.3588 0.8455 0.9537  1 W 1.93, 1 Mg 2.05
O12 0.9582 0.4428 0.1540  1 Mo 1.91, 1 Mg 2.06
O13 0.5579 0.0434 0.3539  1 Mo 1.92, 1 Mg 2.06
O14 0.1582 0.6433 0.5536  1 Mo 1.92, 1 Mg 2.06
O15 0.7577 0.2434 0.7534  1 Mo 1.92, 1 Mg 2.06
O16 0.0418 0.5572 0.8460  1 Mo 1.91, 1 Mg 2.06
O17 0.6412 0.1545 0.0463  1 W 1.93, 1 Mg 2.05
O18 0.2423 0.7566 0.2466  1 Mo 1.92, 1 Mg 2.06
O19 0.8418 0.3567 0.4464  1 Mo 1.92, 1 Mg 2.06
O20 0.4421 0.9566 0.6461  1 Mo 1.92, 1 Mg 2.06
O21 0.9960 0.0573 0.8568  1 Mo 1.91, 1 Mg 2.06
O22 0.5936 0.6564 0.0582  1 W 1.92, 1 Mg 2.05
O23 0.1955 0.2571 0.2574  1 Mo 1.91, 1 Mg 2.06
O24 0.7951 0.8570 0.4573  1 Mo 1.91, 1 Mg 2.06
O25 0.3953 0.4568 0.6571  1 Mo 1.91, 1 Mg 2.06
O26 0.4064 0.3436 0.9418  1 W 1.92, 1 Mg 2.05
O27 0.0040 0.9427 0.1432  1 Mo 1.91, 1 Mg 2.06
O28 0.6047 0.5432 0.3429  1 Mo 1.91, 1 Mg 2.06
O29 0.2049 0.1430 0.5427  1 Mo 1.91, 1 Mg 2.06
O30 0.8045 0.7429 0.7426  1 Mo 1.91, 1 Mg 2.06

## Properties
SG = No. 2
crystal system = triclinic
M_tot = 0.000 μB/f.u.
E_form (uncorrected) = -2.93 eV/atom

(8)
A crystal of Fe3Co4 relaxed with PBEsol. Source: Alexandria via LeMat-Bulk, functional meta-GGA SCAN.

a = 2.7934 Å, b = 2.7934 Å, c = 9.9305 Å
α = 98.09°, β = 98.09°, γ = 90.00°
Last column: nearest neighbours and their distance in Å.
Fractional positions:
Co1 0.7875 0.7875 0.5750  4 Fe 2.38, 4 Co 2.46
Co2 0.2125 0.2125 0.4250  4 Fe 2.38, 4 Co 2.46
Co3 0.0714 0.0714 0.1429  8 Fe 2.42-2.43
Co4 0.9286 0.9286 0.8571  8 Fe 2.42-2.43
Fe1 0.6442 0.6442 0.2883  8 Co 2.38-2.43
Fe2 0.5000 0.5000 0.0000  8 Co 2.42
Fe3 0.3558 0.3558 0.7117  8 Co 2.38-2.43

## Properties
DFT formation energy = -0.204 eV per atom
SG = No. 139
energy above the lowest structure with this stoichiometry = 0.000 eV/atom
crystal system = tetragonal
M_tot = 15.753 μB/f.u.

- Among the records above, which one has the highest M_tot?
  Fe3Co4